# 1
{
  "formula": "ZnHgCl2",
  "functional": "PBEsol",
  "state": "optimized geometry",
  "lattice_angstrom": [[-2.525, -3.013, 0.403], [1.367, -3.730, 3.701], [-4.540, 1.095, 2.769]],
  "species": ["Hg", "Zn", "Cl", "Cl"],
  "fractional_positions": [[0.000, 0.000, 0.000], [0.000, 0.500, 0.500], [0.000, 0.500, 0.000], [0.000, 0.000, 0.500]],
  "relative_energy_ev_per_atom": 0.600,
  "n_ef_per_ev_cell": 1.76,
  "total_energy_ev_per_atom": -1.6858,
  "e_form_raw_ev_per_atom": -0.145,
  "space_group": "C2/m, No. 12"
}

---

# 2
{
  "formula": "ZnHgCl2",
  "functional": "PBEsol",
  "state": "optimized geometry",
  "lattice_angstrom": [[3.484, 0.000, 0.000], [1.742, 3.017, 0.000], [1.742, 1.006, 9.186]],
  "species": ["Cl", "Cl", "Zn", "Hg"],
  "fractional_positions": [[0.717, 0.717, 0.850], [0.283, 0.283, 0.150], [0.000, 0.000, 0.000], [0.500, 0.500, 0.500]],
  "relative_energy_ev_per_atom": 0.000,
  "total_energy_ev_per_atom": -2.2857,
  "e_form_raw_ev_per_atom": -0.745,
  "space_group": "R-3m, No. 166"
}